(1)
Compound: Pr2Er2Tm7
Source: the Alexandria database
Functional: PBE
Structure: optimized geometry

POSCAR file:
```
Pr2Er2Tm7
1.0
5.577 -5.724 0.000
5.577 5.724 0.000
-2.473 0.000 5.520
Pr Er Tm
2 2 7
Direct
0.095 0.095 0.307 Pr
0.905 0.905 0.693 Pr
0.289 0.711 0.000 Er
0.711 0.289 0.000 Er
0.088 0.564 0.320 Tm
0.272 0.272 0.924 Tm
0.436 0.912 0.680 Tm
0.500 0.500 0.500 Tm
0.564 0.088 0.320 Tm
0.728 0.728 0.076 Tm
0.912 0.436 0.680 Tm
```

* symmetry: No. 12
* ΔE_f: 157 meV/atom

---

(2)
Compound: Th2BiPt
Source: the Alexandria database
Functional: PBE
Structure: optimized geometry

POSCAR file:
```
Th2BiPt
1.0
2.127 1.228 7.836
-2.127 1.228 7.836
0.000 -2.456 7.836
Th Bi Pt
2 1 1
Direct
0.000 0.000 0.000 Th
0.193 0.193 0.193 Th
0.764 0.764 0.764 Bi
0.596 0.596 0.596 Pt
```

* symmetry: No. 160
* ΔE_f: -809 meV/atom

---

Spin magnetization per entry: 0.0; 0.0 Bohr magnetons per cell